VASP calculation (PBE) on an optimized crystal structure of LaBeNbSb2.

```
LaBeNbSb2
1.0
5.333 0.000 0.000
0.000 5.333 0.000
0.000 0.000 5.508
La Be Nb Sb
1 1 1 2
direct
0.000 0.000 0.000
0.500 0.500 0.000
0.000 0.000 0.500
0.000 0.500 0.500
0.500 0.000 0.500
```


VASP calculation (PBE) on an optimized crystal structure of LaBeNbSi2.

```
LaBeNbSi2
1.0
5.101 0.000 0.000
0.000 5.101 0.000
0.000 0.000 4.534
La Be Nb Si
1 1 1 2
direct
0.000 0.000 0.000
0.000 0.000 0.500
0.500 0.500 0.500
0.000 0.500 0.000
0.500 0.000 0.000
```


VASP calculation (PBE) on an optimized crystal structure of LaBeNb2Si.

```
LaBeNb2Si
1.0
4.707 0.000 0.000
0.000 4.707 0.000
0.000 0.000 4.124
La Be Nb Si
1 1 2 1
direct
0.000 0.000 0.000
0.500 0.500 0.500
0.000 0.500 0.500
0.500 0.000 0.500
0.500 0.500 0.000
```


VASP calculation (PBE) on an optimized crystal structure of LaTaBeNb2.

```
LaTaBeNb2
1.0
4.950 0.000 0.000
0.000 4.950 0.000
0.000 0.000 5.537
La Ta Be Nb
1 1 1 2
direct
0.000 0.000 0.000
0.000 0.000 0.500
0.500 0.500 0.000
0.000 0.500 0.500
0.500 0.000 0.500
```


VASP calculation (PBE) on an optimized crystal structure of LaNd2Be.

```
LaNd2Be
1.0
3.604 0.000 0.000
0.000 3.604 0.000
0.000 0.000 8.928
La Nd Be
1 2 1
direct
0.000 0.000 0.000
0.500 0.500 0.313
0.500 0.500 0.687
0.000 0.000 0.500
```


VASP calculation (PBE) on an optimized crystal structure of LaNdBeZn.

```
LaNdBeZn
1.0
0.000 3.645 3.645
3.645 0.000 3.645
3.645 3.645 0.000
La Nd Be Zn
1 1 1 1
direct
0.000 0.000 0.000
0.500 0.500 0.500
0.250 0.250 0.250
0.750 0.750 0.750
```


no.,mass density (g/cm3),energy (eV per atom)
1,5.134,-4.807
2,4.181,-4.031
3,6.577,-6.580
4,6.299,-6.557
5,6.251,-4.434
6,6.129,-3.707